(1)
Crystalline Nd6TlIn at its relaxed geometry, computed with GGA-PBE.

Results
Spin magnetization: 0.01 μB/f.u.
E_form: -0.24 eV/atom

Cell: 4.992 4.992 9.983 Å, 90.00 90.00 90.00°
Positions (direct):
Nd1 0.000 0.000 0.000
Nd2 0.000 0.000 0.500
Nd3 0.000 0.500 0.249
Nd4 0.000 0.500 0.751
Nd5 0.500 0.000 0.249
Nd6 0.500 0.000 0.751
Tl1 0.500 0.500 0.500
In1 0.500 0.500 0.000

***

(2)
Crystalline Ba2SrAu at its relaxed geometry, computed with GGA-PBE.

Results
Spin magnetization: 0.00 μB/f.u.
E_form: -0.25 eV/atom
Distance to the lowest polymorph of the same formula: 0.148 eV per atom

Cell: 8.449 8.449 8.449 Å, 98.93 98.93 133.60°
Positions (direct):
Ba1 0.015 0.625 0.890
Ba2 0.375 0.265 0.390
Ba3 0.735 0.125 0.110
Ba4 0.875 0.985 0.610
Sr1 0.250 0.750 0.500
Sr2 0.500 0.500 0.000
Au1 0.000 0.000 0.000
Au2 0.750 0.250 0.500

***

(3)
Crystalline BaBe2FeB at its relaxed geometry, computed with GGA-PBE.

Results
Spin magnetization: 0.11 μB/f.u.
E_form: 3.05 eV/atom

Cell: 4.922 4.922 4.641 Å, 90.00 90.00 90.00°
Positions (direct):
Ba1 0.000 0.000 0.000
Be1 0.000 0.500 0.000
Be2 0.500 0.000 0.000
Fe1 0.500 0.500 0.500
B1 0.000 0.000 0.500

***

(4)
Crystalline SmY2Tm2 at its relaxed geometry, computed with GGA-PBE.

Results
Spin magnetization: 0.00 μB/f.u.
E_form: 0.09 eV/atom
Distance to the lowest polymorph of the same formula: 0.069 eV per atom

Cell: 9.353 9.353 3.700 Å, 90.00 90.00 90.00°
Positions (direct):
Sm1 0.000 0.000 0.000
Sm2 0.500 0.500 0.000
Y1 0.173 0.327 0.500
Y2 0.327 0.827 0.500
Y3 0.673 0.173 0.500
Y4 0.827 0.673 0.500
Tm1 0.124 0.624 0.000
Tm2 0.376 0.124 0.000
Tm3 0.624 0.876 0.000
Tm4 0.876 0.376 0.000

***

(5)
Crystalline Na2PrCdPb2 at its relaxed geometry, computed with GGA-PBE.

Results
Spin magnetization: 0.00 μB/f.u.
E_form: -0.28 eV/atom

Cell: 4.918 9.365 7.819 Å, 90.00 90.00 90.00°
Positions (direct):
Na1 0.000 0.070 0.000
Na2 0.000 0.930 0.500
Na3 0.500 0.166 0.309
Na4 0.500 0.834 0.809
Pr1 0.500 0.460 0.960
Pr2 0.500 0.540 0.460
Cd1 0.000 0.315 0.625
Cd2 0.000 0.685 0.125
Pb1 0.000 0.375 0.237
Pb2 0.000 0.625 0.737
Pb3 0.500 0.162 0.725
Pb4 0.500 0.838 0.225

***

(6)
Crystalline Pm4ZnIn2 at its relaxed geometry, computed with GGA-PBE.

Results
Spin magnetization: 0.00 μB/f.u.
E_form: -0.28 eV/atom

Cell: 9.163 9.163 9.163 Å, 33.83 33.83 33.83°
Positions (direct):
Pm1 0.123 0.123 0.123
Pm2 0.374 0.374 0.374
Pm3 0.626 0.626 0.626
Pm4 0.877 0.877 0.877
Zn1 0.500 0.500 0.500
In1 0.249 0.249 0.249
In2 0.751 0.751 0.751

***

(7)
Crystalline Dy2YEr6 at its relaxed geometry, computed with GGA-PBE.

Results
Spin magnetization: 0.00 μB/f.u.
E_form: 0.02 eV/atom
Distance to the lowest polymorph of the same formula: 0.000 eV per atom

Cell: 3.526 8.616 9.312 Å, 90.02 100.84 90.07°
Positions (direct):
Dy1 0.056 0.335 0.112
Dy2 0.944 0.665 0.888
Y1 0.500 0.000 0.000
Er1 0.167 0.000 0.335
Er2 0.278 0.667 0.555
Er3 0.388 0.333 0.776
Er4 0.612 0.667 0.224
Er5 0.722 0.333 0.445
Er6 0.833 0.000 0.665

***

(8)
Crystalline BaPmPr at its relaxed geometry, computed with GGA-PBE.

Results
Spin magnetization: 0.00 μB/f.u.
E_form: 0.12 eV/atom
Distance to the lowest polymorph of the same formula: 0.000 eV per atom

Cell: 8.935 8.935 8.935 Å, 155.21 155.21 35.35°
Positions (direct):
Ba1 0.000 0.000 0.000
Pm1 0.320 0.320 0.000
Pr1 0.682 0.682 0.000

***

Look up the spin magnetization of the fourth one.
0.00 μB/f.u.

***

Among the records above, which one has the highest E_form?
BaBe2FeB